Computed, not measured: crystalline Sm2Al3CuAu4 at its relaxed geometry at the GGA-PBE level of DFT.

Cell lengths 4.4030, 4.4030, 10.4044 Å; angles 90.00, 90.00, 90.00 degrees
Closest atoms and distances in Å follow each position.
Sites, in units of the cell vectors:
Sm1 0.0000 0.5000 0.2436  8 Au 3.33-3.46, 2 Cu 3.36, 6 Al 3.36-3.38
Sm2 0.5000 0.0000 0.7564  8 Au 3.33-3.46, 2 Cu 3.36, 6 Al 3.36-3.38
Al1 0.0000 0.0000 0.0000  4 Au 2.59
Al2 0.0000 0.5000 0.6309  5 Au 2.47-2.59
Al3 0.5000 0.0000 0.3691  5 Au 2.47-2.59
Cu1 0.5000 0.5000 0.0000  4 Au 2.59
Au1 0.0000 0.0000 0.5000  4 Al 2.59
Au2 0.0000 0.5000 0.8686  3 Al 2.47-2.59, 2 Cu 2.59
Au3 0.5000 0.0000 0.1314  3 Al 2.47-2.59, 2 Cu 2.59
Au4 0.5000 0.5000 0.5000  4 Al 2.59

Values from the calculation:
Total energy   -0.324 Ry/atom
Space-group type   No. 115
Formation energy   -625 meV per atom
DOS(E_F)   0.681 states/eV per atom
Total magnetic moment   0.000 μB/f.u.
Theoretical density   10.15 g/cm3